(1)
NdY2TcN4: relaxed, GGA-PBE.

## Properties
Space group: Cmcm (63)
Theoretical density in g/cm³: 6.67
Energy relative to the elements, uncorrected in eV/atom: -1.0704

Lattice parameters (Å, degrees): 3.4678 6.1184 11.6492 90.00 90.00 106.46
Fractional positions:
1 N 0.0000 0.0000 0.5000
2 N 0.0000 0.0000 0.0000
3 Nd 0.8770 0.7540 0.2500
4 Y 0.3686 0.7372 0.9600
5 Y 0.3686 0.7372 0.5400
6 N 0.2635 0.5269 0.3719
7 Nd 0.1230 0.2460 0.7500
8 N 0.7365 0.4731 0.8719
9 N 0.4392 0.8784 0.7500
10 Y 0.6314 0.2628 0.4600
11 N 0.5608 0.1216 0.2500
12 N 0.7365 0.4731 0.6281
13 Tc 0.1414 0.2828 0.2500
14 Tc 0.8586 0.7172 0.7500
15 N 0.2635 0.5269 0.1281
16 Y 0.6314 0.2628 0.0400

***

(2)
NdZn2TcN4: relaxed, GGA-PBE.

## Properties
Space group: I222 (23)
Theoretical density in g/cm³: 6.68
Energy relative to the elements, uncorrected in eV/atom: -0.2300

Lattice parameters (Å, degrees): 5.4171 5.2085 5.2085 78.67 58.67 58.67
Fractional positions:
1 Zn 0.5000 0.2155 0.7845
2 N 0.3748 0.1576 0.4893
3 N 0.9784 0.4893 0.1576
4 Zn 0.5000 0.7845 0.2155
5 Nd 0.0000 0.0000 0.0000
6 Tc 0.0000 0.5000 0.5000
7 N 0.0216 0.8424 0.5107
8 N 0.6252 0.5107 0.8424

***

(3)
Nd4Te5N: relaxed, GGA-PBE.

## Properties
Space group: C2/m (12)
Theoretical density in g/cm³: 6.27
Energy relative to the elements, uncorrected in eV/atom: -1.0985

Lattice parameters (Å, degrees): 4.2167 8.4877 9.5144 101.28 102.80 90.00
Fractional positions:
1 Nd 0.0032 0.7816 0.0065
2 Nd 0.3522 0.9246 0.7044
3 Te 0.5000 0.5000 0.0000
4 Te 0.8266 0.1848 0.6533
5 Te 0.1648 0.3473 0.3296
6 Te 0.1734 0.8152 0.3467
7 N 0.5000 0.0000 0.0000
8 Nd 0.6478 0.0754 0.2956
9 Te 0.8352 0.6527 0.6704
10 Nd 0.9968 0.2184 0.9935

***

(4)
Nd4Te3N2: relaxed, GGA-PBE.

## Properties
Space group: C2/m (12)
Theoretical density in g/cm³: 6.52
Energy relative to the lowest polymorph listed for this composition in meV per atom: 30.3
Energy relative to the elements, uncorrected in eV/atom: -1.4767

Lattice parameters (Å, degrees): 4.2263 7.4510 9.8098 120.43 90.00 106.48
Fractional positions:
1 Nd 0.6914 0.3829 0.1387
2 Nd 0.3086 0.6171 0.8613
3 Te 0.3850 0.7700 0.2749
4 N 0.3082 0.6164 0.6351
5 N 0.6918 0.3836 0.3649
6 Nd 0.8720 0.7439 0.5867
7 Te 0.6150 0.2300 0.7251
8 Nd 0.1280 0.2561 0.4133
9 Te 0.0000 0.0000 0.0000

***

(5)
Nd12Te3N5: relaxed, GGA-PBE.

## Properties
Space group: Ia-3d (230)
Theoretical density in g/cm³: 6.80
Energy relative to the elements, uncorrected in eV/atom: -0.9677

Lattice parameters (Å, degrees): 14.0426 14.0426 14.0426 109.47 109.47 109.47
Fractional positions:
1 Nd 0.8909 0.3030 0.4889
2 Nd 0.5879 0.8909 0.4020
3 Nd 0.9121 0.8141 0.8030
4 Nd 0.4020 0.3909 0.5879
5 Nd 0.6970 0.1091 0.0111
6 N 0.0000 0.0000 0.0000
7 N 0.6250 0.7500 0.8750
8 N 0.8750 0.6250 0.7500
9 Nd 0.9889 0.5980 0.1859
10 N 0.7500 0.6250 0.3750
11 Nd 0.1091 0.6970 0.5111
12 Nd 0.9020 0.0879 0.8909
13 Nd 0.0111 0.6091 0.6970
14 Te 0.1250 0.8750 0.7500
15 Te 0.7500 0.8750 0.6250
16 Nd 0.9020 0.8141 0.5111
17 N 0.0000 0.5000 0.0000
18 Nd 0.9889 0.3909 0.3030
19 Nd 0.8030 0.4889 0.3909
20 Te 0.3750 0.7500 0.6250
21 Te 0.8750 0.1250 0.2500
22 Nd 0.8141 0.9020 0.0111
23 Nd 0.8909 0.5879 0.9020
24 Nd 0.5111 0.1970 0.1091
25 Nd 0.3141 0.8030 0.4121
26 Te 0.3750 0.6250 0.2500
27 Nd 0.0111 0.4020 0.8141
28 Nd 0.4020 0.0111 0.3141
29 N 0.2500 0.3750 0.6250
30 Te 0.2500 0.6250 0.8750
31 N 0.3750 0.2500 0.1250
32 Te 0.2500 0.1250 0.3750
33 Nd 0.0879 0.9020 0.3909
34 N 0.1250 0.7500 0.3750
35 Nd 0.4889 0.6859 0.0980
36 Te 0.6250 0.2500 0.3750
37 Nd 0.0980 0.1859 0.4889
38 Nd 0.1091 0.4121 0.0980
39 Nd 0.0879 0.1859 0.1970
40 Te 0.1250 0.2500 0.8750
41 Nd 0.3030 0.4121 0.8141
42 Nd 0.4121 0.1091 0.5980
43 N 0.5000 0.5000 0.0000
44 Nd 0.6970 0.5879 0.1859
45 Nd 0.8030 0.3141 0.9121
46 Nd 0.1859 0.0980 0.9889
47 Nd 0.3141 0.5111 0.4020
48 Te 0.6250 0.3750 0.7500
49 N 0.6250 0.8750 0.2500
50 Nd 0.8141 0.9121 0.3030
51 Nd 0.4121 0.3030 0.3141
52 N 0.8750 0.2500 0.6250
53 N 0.3750 0.1250 0.7500
54 Nd 0.5980 0.6091 0.4121
55 Nd 0.3909 0.4020 0.0879
56 N 0.5000 0.0000 0.5000
57 N 0.1250 0.3750 0.2500
58 Nd 0.1970 0.6859 0.0879
59 N 0.0000 0.0000 0.5000
60 Nd 0.6091 0.5980 0.9121
61 Nd 0.5879 0.6970 0.6859
62 Nd 0.9121 0.0980 0.6091
63 N 0.5000 0.5000 0.5000
64 N 0.5000 0.0000 0.0000
65 Nd 0.5111 0.3141 0.9020
66 N 0.0000 0.5000 0.5000
67 Nd 0.6859 0.4889 0.5980
68 Nd 0.4889 0.8030 0.8909
69 N 0.2500 0.8750 0.1250
70 Te 0.7500 0.3750 0.1250
71 Te 0.8750 0.7500 0.1250
72 Nd 0.3909 0.9889 0.8030
73 Nd 0.1859 0.0879 0.6970
74 N 0.7500 0.1250 0.8750
75 Nd 0.5980 0.9889 0.6859
76 Nd 0.0980 0.9121 0.1091
77 Nd 0.3030 0.8909 0.9889
78 Nd 0.1970 0.5111 0.6091
79 Nd 0.6091 0.0111 0.1970
80 Nd 0.6859 0.1970 0.5879

***

(6)
Nd2TeN: relaxed, GGA-PBE.

## Properties
Space group: R-3m (166)
Theoretical density in g/cm³: 7.53
Energy relative to the lowest polymorph listed for this composition in meV per atom: 5.7
Energy relative to the elements, uncorrected in eV/atom: -1.3259

Lattice parameters (Å, degrees): 3.9024 3.9024 7.5406 75.00 75.00 60.00
Fractional positions:
1 Nd 0.7291 0.7291 0.8127
2 Nd 0.2709 0.2709 0.1873
3 N 0.0000 0.0000 0.0000
4 Te 0.5000 0.5000 0.5000

***

(7)
Nd3Te3N: relaxed, GGA-PBE.

## Properties
Space group: Pnma (62)
Theoretical density in g/cm³: 6.46
Energy relative to the elements, uncorrected in eV/atom: -1.4665

Lattice parameters (Å, degrees): 4.2998 13.9064 14.2623 90.00 90.00 90.00
Fractional positions:
1 N 0.2500 0.5379 0.7054
2 Te 0.7500 0.7220 0.8186
3 Nd 0.2500 0.0375 0.1583
4 Nd 0.7500 0.9625 0.8417
5 Te 0.7500 0.6261 0.5007
6 Nd 0.7500 0.3058 0.3544
7 Nd 0.2500 0.5375 0.3417
8 Nd 0.2500 0.1942 0.8544
9 Nd 0.7500 0.9431 0.3636
10 Te 0.2500 0.6047 0.1068
11 N 0.7500 0.9621 0.2054
12 N 0.7500 0.4621 0.2946
13 Te 0.2500 0.7780 0.3186
14 Te 0.2500 0.8739 0.0007
15 Te 0.7500 0.1261 0.9993
16 Nd 0.7500 0.4625 0.6583
17 N 0.2500 0.0379 0.7946
18 Nd 0.7500 0.4431 0.1364
19 Nd 0.2500 0.6942 0.6456
20 Nd 0.7500 0.8058 0.1456
21 Te 0.2500 0.3739 0.4993
22 Te 0.7500 0.8953 0.6068
23 Te 0.7500 0.2220 0.6814
24 Nd 0.2500 0.5569 0.8636
25 Nd 0.2500 0.0569 0.6364
26 Te 0.7500 0.3953 0.8932
27 Te 0.2500 0.2780 0.1814
28 Te 0.2500 0.1047 0.3932

***

(8)
Nd3Te2N: relaxed, GGA-PBE.

## Properties
Space group: Immm (71)
Theoretical density in g/cm³: 7.26
Energy relative to the elements, uncorrected in eV/atom: -1.2765

Lattice parameters (Å, degrees): 3.9044 6.0134 7.7240 112.91 104.64 90.00
Fractional positions:
1 Te 0.3183 0.8183 0.6366
2 Nd 0.0000 0.0000 0.0000
3 Te 0.6817 0.1817 0.3634
4 Nd 0.6207 0.6207 0.2413
5 N 0.0000 0.5000 0.0000
6 Nd 0.3793 0.3793 0.7587

***

(9)
Nd4Te3N2: relaxed, GGA-PBE.

## Properties
Space group: Pnma (62)
Theoretical density in g/cm³: 6.55
Energy relative to the lowest polymorph listed for this composition in meV per atom: 0.0
Energy relative to the elements, uncorrected in eV/atom: -1.5070

Lattice parameters (Å, degrees): 7.4325 11.4221 11.7975 90.00 90.00 90.00
Fractional positions:
1 Te 0.0630 0.1357 0.0797
2 Nd 0.1454 0.3899 0.9514
3 N 0.0510 0.4677 0.1220
4 Nd 0.2670 0.5316 0.2500
5 Te 0.9179 0.2244 0.7500
6 Te 0.4370 0.6357 0.9203
7 Te 0.0630 0.1357 0.4203
8 Nd 0.3546 0.8899 0.4514
9 Nd 0.8546 0.6101 0.0486
10 Nd 0.8546 0.6101 0.4514
11 N 0.5510 0.0323 0.3780
12 Te 0.5630 0.3643 0.4203
13 Nd 0.5933 0.8417 0.7500
14 N 0.5510 0.0323 0.1220
15 Te 0.5821 0.7244 0.2500
16 Nd 0.7670 0.9684 0.2500
17 N 0.4490 0.9677 0.8780
18 N 0.4490 0.9677 0.6220
19 Nd 0.1454 0.3899 0.5486
20 Te 0.5630 0.3643 0.0797
21 Nd 0.4067 0.1583 0.2500
22 Nd 0.9067 0.3417 0.2500
23 Nd 0.6454 0.1101 0.9514
24 N 0.9490 0.5323 0.8780
25 Te 0.4179 0.2756 0.7500
26 Nd 0.0933 0.6583 0.7500
27 Te 0.9370 0.8643 0.9203
28 N 0.0510 0.4677 0.3780
29 Nd 0.7330 0.4684 0.7500
30 Nd 0.3546 0.8899 0.0486
31 Nd 0.6454 0.1101 0.5486
32 Te 0.9370 0.8643 0.5797
33 N 0.9490 0.5323 0.6220
34 Nd 0.2330 0.0316 0.7500
35 Te 0.4370 0.6357 0.5797
36 Te 0.0821 0.7756 0.2500

***

(10)
Nd5Te4N: relaxed, GGA-PBE.

## Properties
Space group: I4 (79)
Theoretical density in g/cm³: 7.06
Energy relative to the elements, uncorrected in eV/atom: -1.3314

Lattice parameters (Å, degrees): 6.2086 7.5394 7.5394 80.24 65.69 65.69
Fractional positions:
1 Nd 0.0951 0.6648 0.1528
2 Nd 0.2480 0.8472 0.6648
3 Te 0.1911 0.2255 0.3968
4 Te 0.5879 0.6032 0.2255
5 N 0.0268 0.0000 0.0000
6 Nd 0.4588 0.0000 0.0000
7 Nd 0.7599 0.1528 0.3352
8 Nd 0.9127 0.3352 0.8472
9 Te 0.4166 0.3968 0.7745
10 Te 0.8134 0.7745 0.6032

***

(11)
Nd2TeN: relaxed, GGA-PBE.

## Properties
Space group: P6_3/mmc (194)
Theoretical density in g/cm³: 7.51
Energy relative to the lowest polymorph listed for this composition in meV per atom: 0.0
Energy relative to the elements, uncorrected in eV/atom: -1.3315

Lattice parameters (Å, degrees): 3.8980 3.8980 14.4528 90.00 90.00 120.00
Fractional positions:
1 Te 0.6667 0.3333 0.2500
2 Nd 0.3333 0.6667 0.0935
3 N 0.0000 0.0000 0.0000
4 Te 0.3333 0.6667 0.7500
5 Nd 0.3333 0.6667 0.4065
6 N 0.0000 0.0000 0.5000
7 Nd 0.6667 0.3333 0.9065
8 Nd 0.6667 0.3333 0.5935

***

(12)
Nd2TeN: relaxed, GGA-PBE.

## Properties
Space group: R3m (160)
Theoretical density in g/cm³: 7.52
Energy relative to the lowest polymorph listed for this composition in meV per atom: 24.7
Energy relative to the elements, uncorrected in eV/atom: -1.3069

Lattice parameters (Å, degrees): 3.8852 3.8852 7.6048 75.20 75.20 60.00
Fractional positions:
1 Te 0.4996 0.4996 0.5011
2 N 0.6688 0.6688 0.9937
3 Nd 0.0614 0.0614 0.8159
4 Nd 0.2702 0.2702 0.1893

***

(13)
Nd3TeN: relaxed, GGA-PBE.

## Properties
Space group: Cmc2_1 (36)
Theoretical density in g/cm³: 6.48
Energy relative to the lowest polymorph listed for this composition in meV per atom: 43.7
Energy relative to the elements, uncorrected in eV/atom: -0.8653

Lattice parameters (Å, degrees): 3.8090 7.5979 10.3537 90.00 100.60 90.00
Fractional positions:
1 Nd 0.7738 0.6344 0.5475
2 N 0.3498 0.5213 0.6996
3 Nd 0.0971 0.8690 0.1942
4 Nd 0.4256 0.7665 0.8511
5 Te 0.1595 0.5028 0.3191
6 N 0.6502 0.0213 0.3004
7 Nd 0.9029 0.3690 0.8058
8 Nd 0.2262 0.1344 0.4525
9 Nd 0.5744 0.2665 0.1489
10 Te 0.8405 0.0028 0.6809

***

(14)
Nd3TeN2: relaxed, GGA-PBE.

## Properties
Space group: Pmc2_1 (26)
Theoretical density in g/cm³: 7.36
Energy relative to the lowest polymorph listed for this composition in meV per atom: 46.5
Energy relative to the elements, uncorrected in eV/atom: -1.2140

Lattice parameters (Å, degrees): 3.6699 6.5610 11.0205 90.00 90.00 90.00
Site moments in Bohr magnetons follow the coordinates.
Fractional positions:
1 N 0.5000 0.5182 0.4957  -0.02
2 Nd 0.5000 0.2801 0.6726  0.11
3 Te 0.0000 0.0210 0.8681  -0.01
4 Nd 0.5000 0.1255 0.1081  0.10
5 Te 0.0000 0.5210 0.1319  -0.01
6 N 0.0000 0.0133 0.2395  -0.01
7 N 0.5000 0.0182 0.5043  -0.02
8 Nd 0.0000 0.7433 0.5909  0.08
9 Nd 0.5000 0.7801 0.3274  0.11
10 Nd 0.5000 0.6255 0.8919  0.10
11 N 0.0000 0.5133 0.7605  -0.01
12 Nd 0.0000 0.2433 0.4091  0.08

***

(15)
Nd2TeN: relaxed, GGA-PBE.

## Properties
Space group: P2_1/c (14)
Theoretical density in g/cm³: 6.85
Energy relative to the lowest polymorph listed for this composition in meV per atom: 54.0
Energy relative to the elements, uncorrected in eV/atom: -1.2775

Lattice parameters (Å, degrees): 7.0115 7.1580 8.3168 90.00 88.75 90.00
Fractional positions:
1 Nd 0.5406 0.6806 0.2062
2 Te 0.8039 0.6053 0.8729
3 Nd 0.8564 0.3351 0.4151
4 Nd 0.9594 0.1806 0.7938
5 N 0.8378 0.6692 0.3873
6 N 0.1622 0.3308 0.6127
7 Te 0.1961 0.3947 0.1271
8 Nd 0.0406 0.8194 0.2062
9 Nd 0.6436 0.8351 0.5849
10 Nd 0.3564 0.1649 0.4151
11 N 0.6622 0.1693 0.6127
12 Te 0.3039 0.8947 0.8729
13 Nd 0.1436 0.6649 0.5849
14 N 0.3378 0.8308 0.3873
15 Nd 0.4594 0.3194 0.7938
16 Te 0.6961 0.1053 0.1271

***

(16)
Nd3Te3N: relaxed, GGA-PBE.

## Properties
Space group: C2/m (12)
Theoretical density in g/cm³: 6.44
Energy relative to the elements, uncorrected in eV/atom: -1.4673

Lattice parameters (Å, degrees): 7.8135 7.8135 7.7986 97.47 97.47 112.45
Fractional positions:
1 Nd 0.0989 0.0989 0.8352
2 Nd 0.4392 0.1538 0.2809
3 Te 0.7410 0.2590 0.0000
4 Nd 0.5608 0.8462 0.7191
5 Te 0.8362 0.1638 0.5000
6 Nd 0.9011 0.9011 0.1648
7 N 0.8320 0.8320 0.8549
8 Te 0.3856 0.3856 0.6483
9 N 0.1680 0.1680 0.1451
10 Nd 0.8462 0.5608 0.7191
11 Te 0.6144 0.6144 0.3517
12 Te 0.2590 0.7410 0.0000
13 Nd 0.1538 0.4392 0.2809
14 Te 0.1638 0.8362 0.5000

***

(17)
Nd5Te5N: relaxed, GGA-PBE.

## Properties
Space group: C2/m (12)
Theoretical density in g/cm³: 6.59
Energy relative to the elements, uncorrected in eV/atom: -1.3151

Lattice parameters (Å, degrees): 6.2145 7.5147 8.6341 107.67 90.00 114.42
Fractional positions:
1 Nd 0.8611 0.7221 0.7187
2 Nd 0.8512 0.7023 0.1410
3 Te 0.0000 0.0000 0.5000
4 Te 0.6778 0.3555 0.3381
5 Nd 0.1389 0.2779 0.2813
6 Nd 0.1488 0.2977 0.8590
7 Te 0.6571 0.3142 0.8090
8 Te 0.3222 0.6445 0.6619
9 Nd 0.5000 0.0000 0.0000
10 Te 0.3429 0.6858 0.1910
11 N 0.0000 0.0000 0.0000